Record 1
Entry from Alexandria: crystalline SrZr at its relaxed geometry (PBE).

Unit cell a=6.6566 b=6.6566 c=6.6566 alpha=90.00 beta=90.00 gamma=90.00
Space group Fm-3m (No. 225)
One atom of each set of equivalent atoms:
Sr 0.0000 0.0000 0.0000 [4 per cell]
Zr 0.0000 0.0000 0.5000 [4 per cell]

Relative energy among the computed polymorphs (meV/atom): 1152
Theoretical density (g cm⁻³): 4.03
Magnetic moment (μB per cell): 7.94



Record 2
Entry from Alexandria: crystalline SrZr3 at its relaxed geometry (PBE).

Unit cell a=3.3270 b=3.3270 c=33.7891 alpha=90.00 beta=90.00 gamma=120.00
Space group R-3m (No. 166, hexagonal axes)
One atom of each set of equivalent atoms:
Sr 0.0000 0.0000 0.0000 [3 per cell]
Zr 0.0000 0.0000 0.2407 [6 per cell]
Zr 0.0000 0.0000 0.5000 [3 per cell]

Theoretical density (g cm⁻³): 5.56
Energy (eV/atom): -6.496
Magnetic moment (μB per cell): 0.00



Record 3
Entry from Alexandria: crystalline SrZr at its relaxed geometry (PBE).

Unit cell a=5.0952 b=3.4941 c=7.7208 alpha=90.00 beta=90.00 gamma=90.00
Space group Pmma (No. 51)
One atom of each set of equivalent atoms:
Sr 0.2500 0.0000 0.1796 [2 per cell]
Zr 0.2500 0.5000 0.5785 [2 per cell]

Relative energy among the computed polymorphs (meV/atom): 180
Theoretical density (g cm⁻³): 4.32
Magnetic moment (μB per cell): 0.00



Record 4
Entry from Alexandria: crystalline SrZr2 at its relaxed geometry (PBE).

Unit cell a=7.1273 b=7.1273 c=7.1273 alpha=90.00 beta=90.00 gamma=90.00
Space group Pa-3 (No. 205)
One atom of each set of equivalent atoms:
Sr 0.0000 0.0000 0.0000 [4 per cell]
Zr 0.1129 0.6129 0.8871 [8 per cell]

Relative energy among the computed polymorphs (meV/atom): 1354
Theoretical density (g cm⁻³): 4.95
Magnetic moment (μB per cell): 4.81



Record 5
Entry from Alexandria: crystalline SrZr2 at its relaxed geometry (PBE).

Unit cell a=5.6650 b=5.6650 c=12.6155 alpha=90.00 beta=90.00 gamma=90.00
Space group I4/mcm (No. 140)
One atom of each set of equivalent atoms:
Sr 0.0000 0.0000 0.2500 [4 per cell]
Zr 0.1716 0.3284 0.0000 [8 per cell]

Relative energy among the computed polymorphs (meV/atom): 146
Theoretical density (g cm⁻³): 4.43
Magnetic moment (μB per cell): 0.00



Record 6
Entry from Alexandria: crystalline SrZr at its relaxed geometry (PBE).

Unit cell a=3.3776 b=3.3776 c=5.5307 alpha=90.00 beta=90.00 gamma=90.00
Space group P4/mmm (No. 123)
One atom of each set of equivalent atoms:
Sr 0.0000 0.0000 0.0000 [1 per cell]
Zr 0.5000 0.5000 0.5000 [1 per cell]

Relative energy among the computed polymorphs (meV/atom): 367
Theoretical density (g cm⁻³): 4.71
Magnetic moment (μB per cell): 0.00